Record 1
## YSb3 (meta-GGA SCAN)

Data for a PBEsol-optimized structure of YSb3.

The structure in extended XYZ format:
```
4
Lattice="-3.771 -1.021 1.834 2.067 -2.865 2.656 0.810 4.398 4.114" Properties=species:S:1:pos:R:3 pbc="T T T"
Sb -0.962 -1.791 2.104
Sb -0.960 0.968 3.642
Sb 1.841 -2.552 2.366
Y 1.944 0.067 4.033
```

Calculated values
M_tot = 0.00 Bohr magnetons per cell
VASP energy = -35.466 eV/atom
Space-group type = Pmm2 (25)
DOS(E_F) = 0.33 states/eV/cell


Record 2
## YSb4 (meta-GGA SCAN)

Data for a PBEsol-optimized structure of YSb4.

The structure in extended XYZ format:
```
5
Lattice="-1.904 -4.094 3.805 4.977 2.428 2.050 -4.122 4.182 -0.617" Properties=species:S:1:pos:R:3 pbc="T T T"
Sb -0.525 1.258 2.619
Sb -2.061 2.091 -0.308
Sb 2.488 1.214 1.025
Sb -0.952 -2.047 1.902
Y 0.000 0.000 0.000
```

Calculated values
M_tot = 0.00 Bohr magnetons per cell
VASP energy = -35.531 eV/atom
Space-group type = Im-3m (229)
DOS(E_F) = 3.17 states/eV/cell


no.,calculated volume (Å³ per atom)
1,28.98
2,31.70